[1]
Entry from the Alexandria database: a relaxed structure of Rb3TcF7 (GGA-PBE).

a b c (Å): 8.8327 8.7024 7.0057
angles (deg): 90.00 124.72 90.00
Last column: nearest neighbours and their distance in Å.
Space group Cm (No. 8)
Asymmetric unit:
Rb1 0.0000 0.0000 0.0000 x2  5 F 2.72-2.92
Rb2 0.4922 0.2346 0.4844 x4  7 F 2.76-2.94
Tc1 0.0346 0.5000 0.0140 x2  7 F 2.01-2.07
F1 0.1117 0.2952 0.1941 x4  1 Tc 2.06
F2 0.1317 0.5000 0.8067 x2  1 Tc 2.07
F3 0.3141 0.5000 0.2365 x2  1 Tc 2.03
F4 0.3597 0.1524 0.7728 x4  1 Tc 2.01
F5 0.3727 0.0000 0.1346 x2  1 Tc 2.03

Output
Raw total energy = -4.830 eV per atom
Formation energy (no corrections) = -2.43 eV/atom
Calculated volume = 443 Å³/cell



[2]
Entry from the Alexandria database: a relaxed structure of Dy2AlCdAu4 (GGA-PBE).

a b c (Å): 4.9097 4.9097 23.6067
angles (deg): 90.00 90.00 120.00
Last column: nearest neighbours and their distance in Å.
Space group R-3m (No. 166, hexagonal axes)
Asymmetric unit:
Dy1 0.0000 0.0000 0.2478 x6  8 Au 2.92-3.11
Al1 0.0000 0.0000 0.0000 x3  8 Au 2.74-2.98
Cd1 0.0000 0.0000 0.5000 x3  8 Au 3.03-3.08
Au1 0.0000 0.0000 0.1161 x6  1 Al 2.74, 3 Dy 2.92-2.93
Au2 0.0000 0.0000 0.3716 x6  4 Dy 2.92-3.05, 3 Al 2.98, 1 Cd 3.03

Output
Raw total energy = -4.070 eV per atom
Calculated volume = 493 Å³/cell
ΔH_f (0 K) = -0.698 eV per atom



[3]
Entry from the Alexandria database: a relaxed structure of La2FeRu (GGA-PBE).

a b c (Å): 3.5312 3.5611 7.3040
angles (deg): 90.00 90.00 90.00
Last column: nearest neighbours and their distance in Å.
Space group Pmmm (No. 47)
Asymmetric unit:
La1 0.0000 0.0000 0.2434 x2  4 Ru 3.07, 4 Fe 3.13
Fe1 0.5000 0.5000 0.5000 x1  8 La 3.13
Ru1 0.5000 0.5000 0.0000 x1  8 La 3.07

Output
Raw total energy = -6.772 eV per atom
Calculated volume = 92 Å³/cell
ΔH_f (0 K) = 0.126 eV per atom



[4]
Entry from the Alexandria database: a relaxed structure of YFeRu (GGA-PBE).

a b c (Å): 3.2478 3.2478 10.1751
angles (deg): 90.00 90.00 90.00
Last column: nearest neighbours and their distance in Å.
Space group I4mm (No. 107)
Asymmetric unit:
Y1 0.0000 0.0000 0.0000 x2  5 Ru 2.98-3.18, 5 Fe 3.05-3.08, 4 Y 3.25
Fe1 0.0000 0.0000 0.6973 x2  4 Ru 2.58
Ru1 0.0000 0.0000 0.3129 x2  4 Fe 2.58

Output
Raw total energy = -8.003 eV per atom
Calculated volume = 107 Å³/cell
ΔH_f (0 K) = 0.064 eV per atom



[5]
Entry from the Alexandria database: a relaxed structure of YUGa (GGA-PBE).

a b c (Å): 5.5354 8.5313 12.5915
angles (deg): 90.00 90.00 90.00
Last column: nearest neighbours and their distance in Å.
Space group Fmmm (No. 69)
Asymmetric unit:
Y1 0.0000 0.1753 0.0000 x8  3 Y 2.99-3.05, 2 Ga 3.07
U1 0.2500 0.2500 0.2500 x8  2 U 2.77
Ga1 0.0000 0.0000 0.3940 x8  1 Ga 2.67

Output
Raw total energy = -6.765 eV per atom
Calculated volume = 595 Å³/cell
ΔH_f (0 K) = 0.161 eV per atom



[6]
Entry from the Alexandria database: a relaxed structure of ZrOsBr2 (GGA-PBE).

a b c (Å): 3.1465 3.1465 9.9333
angles (deg): 90.00 90.00 90.00
Last column: nearest neighbours and their distance in Å.
Space group P4/mmm (No. 123)
Asymmetric unit:
Zr1 0.0000 0.0000 0.0000 x1  8 Br 2.82, 4 Zr 3.15
Os1 0.0000 0.0000 0.5000 x1  4 Os 3.15
Br1 0.5000 0.5000 0.1749 x2  4 Zr 2.82, 4 Br 3.15

Output
Raw total energy = -5.106 eV per atom
Formation energy (no corrections) = 0.68 eV/atom
Calculated volume = 98 Å³/cell
ΔE to the lowest computed polymorph = 357 kJ/mol of formula units